No. 1
Rb2WAu | GGA-PBEsol | relaxed

## Properties
formation energy from the elements = 1.6477 eV/atom
density = 6.672 g cm⁻³

The structure in CIF format:
```
data_Rb2WAu
_chemical_formula_sum 'Rb2 W1 Au1'
_space_group_name_H-M_alt 'P 1'
_space_group_IT_number 1
_cell_length_a 5.7909
_cell_length_b 5.7909
_cell_length_c 5.7909
_cell_angle_alpha 60.00
_cell_angle_beta 60.00
_cell_angle_gamma 60.00
loop_
_space_group_symop_operation_xyz
'x,y,z'
loop_
_atom_site_label
_atom_site_fract_x
_atom_site_fract_y
_atom_site_fract_z
_atom_site_occupancy
Rb1 0.2500 0.2500 0.2500 1
Rb2 0.7500 0.7500 0.7500 1
W1 0.0000 0.0000 0.0000 1
Au1 0.5000 0.5000 0.5000 1
```



No. 2
Ta2InAg | GGA-PBEsol | relaxed

## Properties
formation energy from the elements = 0.4272 eV/atom
density = 13.451 g cm⁻³

The structure in CIF format:
```
data_Ta2InAg
_chemical_formula_sum 'Ta2 In1 Ag1'
_space_group_name_H-M_alt 'P 1'
_space_group_IT_number 1
_cell_length_a 3.5776
_cell_length_b 3.5776
_cell_length_c 5.6386
_cell_angle_alpha 90.00
_cell_angle_beta 90.00
_cell_angle_gamma 90.00
loop_
_space_group_symop_operation_xyz
'x,y,z'
loop_
_atom_site_label
_atom_site_fract_x
_atom_site_fract_y
_atom_site_fract_z
_atom_site_occupancy
Ta1 0.0000 0.0000 0.2486 1
Ta2 0.0000 0.0000 0.7514 1
In1 0.5000 0.5000 0.5000 1
Ag1 0.5000 0.5000 0.0000 1
```



No. 3
CaYHg2 | GGA-PBEsol | relaxed

## Properties
excess energy over the best structure of this formula in the dataset = 0.0 meV/atom
formation energy from the elements = -0.6349 eV/atom
density = 8.875 g cm⁻³

The structure in CIF format:
```
data_CaYHg2
_chemical_formula_sum 'Ca1 Y1 Hg2'
_space_group_name_H-M_alt 'P 1'
_space_group_IT_number 1
_cell_length_a 5.2246
_cell_length_b 5.2246
_cell_length_c 3.6338
_cell_angle_alpha 90.00
_cell_angle_beta 90.00
_cell_angle_gamma 90.00
loop_
_space_group_symop_operation_xyz
'x,y,z'
loop_
_atom_site_label
_atom_site_fract_x
_atom_site_fract_y
_atom_site_fract_z
_atom_site_occupancy
Ca1 0.0000 0.0000 0.0000 1
Y1 0.5000 0.5000 0.0000 1
Hg1 0.0000 0.5000 0.5000 1
Hg2 0.5000 0.0000 0.5000 1
```



No. 4
Tm5BiPd2 | GGA-PBEsol | relaxed

## Properties
formation energy from the elements = -0.7189 eV/atom
density = 10.881 g cm⁻³

The structure in CIF format:
```
data_Tm5BiPd2
_chemical_formula_sum 'Tm10 Bi2 Pd4'
_space_group_name_H-M_alt 'P 1'
_space_group_IT_number 1
_cell_length_a 8.5804
_cell_length_b 8.5804
_cell_length_c 8.5804
_cell_angle_alpha 127.41
_cell_angle_beta 127.41
_cell_angle_gamma 77.59
loop_
_space_group_symop_operation_xyz
'x,y,z'
loop_
_atom_site_label
_atom_site_fract_x
_atom_site_fract_y
_atom_site_fract_z
_atom_site_occupancy
Tm1 0.0000 0.0000 0.0000 1
Tm2 0.0147 0.5147 0.8095 1
Tm3 0.2052 0.0147 0.5000 1
Tm4 0.2948 0.7948 0.8095 1
Tm5 0.4853 0.2948 0.5000 1
Tm6 0.5000 0.5000 0.0000 1
Tm7 0.5147 0.7052 0.5000 1
Tm8 0.7052 0.2052 0.1905 1
Tm9 0.7948 0.9853 0.5000 1
Tm10 0.9853 0.4853 0.1905 1
Bi1 0.2500 0.2500 0.0000 1
Bi2 0.7500 0.7500 0.0000 1
Pd1 0.1367 0.3633 0.5000 1
Pd2 0.3633 0.8633 0.2265 1
Pd3 0.6367 0.1367 0.7735 1
Pd4 0.8633 0.6367 0.5000 1
```



Copy entry 3 word for word.
CaYHg2 | GGA-PBEsol | relaxed

## Properties
excess energy over the best structure of this formula in the dataset = 0.0 meV/atom
formation energy from the elements = -0.6349 eV/atom
density = 8.875 g cm⁻³

The structure in CIF format:
```
data_CaYHg2
_chemical_formula_sum 'Ca1 Y1 Hg2'
_space_group_name_H-M_alt 'P 1'
_space_group_IT_number 1
_cell_length_a 5.2246
_cell_length_b 5.2246
_cell_length_c 3.6338
_cell_angle_alpha 90.00
_cell_angle_beta 90.00
_cell_angle_gamma 90.00
loop_
_space_group_symop_operation_xyz
'x,y,z'
loop_
_atom_site_label
_atom_site_fract_x
_atom_site_fract_y
_atom_site_fract_z
_atom_site_occupancy
Ca1 0.0000 0.0000 0.0000 1
Y1 0.5000 0.5000 0.0000 1
Hg1 0.0000 0.5000 0.5000 1
Hg2 0.5000 0.0000 0.5000 1
```



Which of these has the highest density? Ta2InAg



What is the formula in the third record? CaYHg2